No. 1
VASP calculation (SCAN) on a crystal of MgTa3I relaxed with PBEsol.

Output
* M_tot: 0.0 μB/cell
* ΔE_f (raw): 222 kJ per mole of atoms

Cell and atoms, written as CIF:
```
data_MgTa3I
_chemical_formula_sum 'Mg1 Ta3 I1'
_cell_length_a 4.801
_cell_length_b 4.801
_cell_length_c 4.801
_cell_angle_alpha 90.00
_cell_angle_beta 90.00
_cell_angle_gamma 90.00
_symmetry_space_group_name_H-M 'P m -3 m'
_symmetry_Int_Tables_number 221
_symmetry_space_group_name_Hall '-P 4 2 3'
loop_
_atom_site_label
_atom_site_fract_x
_atom_site_fract_y
_atom_site_fract_z
Mg1 0.000 0.000 0.000
Ta1 0.000 0.000 0.500
I1 0.500 0.500 0.500
```

No. 2
VASP calculation (SCAN) on a crystal of CrCoTc2 relaxed with PBEsol.

Output
* M_tot: 0.1 μB/cell
* formation energy: 0.097 eV per atom

Cell and atoms, written as CIF:
```
data_CrCoTc2
_chemical_formula_sum 'Cr1 Co1 Tc2'
_cell_length_a 3.684
_cell_length_b 3.684
_cell_length_c 3.614
_cell_angle_alpha 90.00
_cell_angle_beta 90.00
_cell_angle_gamma 90.00
_symmetry_space_group_name_H-M 'P 4/m m m'
_symmetry_Int_Tables_number 123
_symmetry_space_group_name_Hall '-P 4 2'
loop_
_atom_site_label
_atom_site_fract_x
_atom_site_fract_y
_atom_site_fract_z
Cr1 0.000 0.000 0.000
Co1 0.500 0.500 0.000
Tc1 0.000 0.500 0.500
```